[1]
5
Lattice="4.947 0.000 0.000 0.000 5.877 0.000 0.000 0.000 4.947" Properties=species:S:1:pos:R:3 comment="BiSbPd2C | Alexandria via LeMat-Bulk | GGA-PBE | relaxed" e_form_raw_ev_per_atom=1.77 magmom_total_mub_per_fu=1.764 mass_density_g_cm3=6.414 pbc="T T T"
Sb 0.000 0.000 0.000
C 2.474 2.938 2.474
Bi 0.000 2.938 0.000
Pd 0.000 0.000 2.474
Pd 2.474 0.000 0.000


[2]
4
Lattice="-3.759 -0.882 -1.343 -1.025 -3.874 -0.810 -6.712 -3.485 14.849" Properties=species:S:1:pos:R:3 comment="CsK2Pr | Alexandria via LeMat-Bulk | GGA-PBE | relaxed" magmom_total_mub_per_fu=0.299 e_form_ev_per_atom=0.428 mass_density_g_cm3=2.449 pbc="T T T"
Pr 0.000 0.000 0.000
Cs -5.748 -4.120 6.348
K -5.525 -3.044 11.238
K -5.971 -5.196 1.458


[3]
5
Lattice="-1.601 3.524 -1.640 -5.440 -0.121 -0.337 -2.719 2.979 3.668" Properties=species:S:1:pos:R:3 comment="LiTm2Pt2 | Alexandria via LeMat-Bulk | GGA-PBE | relaxed" magmom_total_mub_per_fu=0.000 e_form_ev_per_atom=-1.050 mass_density_g_cm3=12.235 pbc="T T T"
Li -3.520 1.702 -0.988
Tm -6.289 3.264 -0.317
Tm -3.471 3.119 2.007
Pt -2.014 0.744 0.871
Pt -7.746 5.638 0.820


[4]
12
Lattice="-0.172 -2.403 -2.649 -1.417 -5.427 5.015 -9.547 0.746 -0.057" Properties=species:S:1:pos:R:3 comment="RbSmSnO3 | Alexandria via LeMat-Bulk | GGA-PBE | relaxed" e_form_raw_ev_per_atom=-2.19 magmom_total_mub_per_fu=0.000 mass_density_g_cm3=5.225 pbc="T T T"
Rb -8.945 -6.178 2.555
Rb -2.191 -0.906 -0.246
Sm -2.178 -3.660 2.252
Sm -8.959 -3.423 0.057
Sn -5.896 -1.803 0.809
Sn -5.240 -5.280 1.501
O -4.570 -3.264 2.048
O -3.095 -5.815 1.847
O -1.680 -3.806 -0.068
O -6.566 -3.819 0.261
O -9.456 -3.277 2.377
O -8.041 -1.268 0.463


[5]
4
Lattice="-3.665 -1.341 -2.546 0.335 -3.718 -2.788 -2.268 -3.927 1.070" Properties=species:S:1:pos:R:3 comment="LiAlInAu | Alexandria via LeMat-Bulk | GGA-PBE | relaxed" magmom_total_mub_per_fu=0.000 e_form_ev_per_atom=-0.259 mass_density_g_cm3=8.027 pbc="T T T"
Li -1.399 -2.246 -1.066
Au 0.000 0.000 0.000
Al -4.198 -6.739 -3.198
In -2.799 -4.493 -2.132


[6]
80
Lattice="-3.412 -1.964 -8.538 8.491 -3.922 0.960 -5.797 -3.433 6.558" Properties=species:S:1:pos:R:3 comment="H12Pd5Ru3 | Alexandria via LeMat-Bulk | GGA-PBE | relaxed" magmom_total_mub_per_fu=0.002 mass_density_g_cm3=8.798 pbc="T T T"
Ru -0.100 -3.373 -5.224
Ru 2.657 -5.089 -5.931
Ru 1.465 -5.823 1.617
Ru -1.966 -2.268 0.445
Ru -3.374 -3.067 -5.711
Ru 2.578 -4.046 -0.962
Ru -3.297 -5.273 -0.058
Ru 2.655 -6.252 4.691
Ru 1.247 -7.050 -1.465
Ru -2.184 -3.495 -2.637
Ru -3.376 -4.230 4.911
Ru -0.619 -5.946 4.203
Pd 1.308 -2.574 0.932
Pd 4.245 -1.961 0.480
Pd 0.000 0.000 0.000
Pd 0.118 -2.146 -2.142
Pd -4.605 -2.698 -0.990
Pd 2.539 -2.943 -3.789
Pd 3.768 -4.474 2.112
Pd -6.571 -4.967 -0.545
Pd 0.573 -5.211 -3.344
Pd -4.566 -3.801 1.837
Pd 3.847 -5.517 -2.857
Pd -0.359 -4.659 -0.510
Pd -1.706 -0.982 -4.269
Pd -2.899 -1.716 3.279
Pd -1.292 -4.107 2.324
Pd 5.852 -4.352 -0.475
Pd 1.347 -3.677 3.759
Pd -4.486 -4.844 -3.132
Pd -0.837 -7.173 1.122
Pd -2.027 -6.744 -1.952
H -1.617 -2.268 -5.683
H 1.268 -4.311 0.434
H -1.757 -4.110 -5.885
H -0.821 -2.554 -3.631
H 0.380 -6.317 0.096
H 0.804 -4.692 -6.305
H 2.948 -5.085 0.621
H 6.621 -4.276 1.159
H 2.059 -7.091 0.288
H 1.480 -4.305 -4.618
H -0.964 -4.396 -3.831
H 4.548 -5.464 -5.789
H 2.431 -5.127 3.138
H 1.862 -2.606 -2.031
H 5.475 -4.957 2.454
H -3.520 -3.413 0.415
H -0.228 -1.624 0.985
H 3.705 -3.751 -2.504
H 3.400 -6.141 -4.493
H 2.537 -2.216 -0.344
H 2.288 -6.969 2.934
H 1.124 -5.128 -1.625
H 0.654 -7.016 -3.304
H -5.096 -5.955 -0.205
H -1.842 -4.190 0.605
H -1.373 -2.302 2.283
H 4.377 -3.364 -0.815
H -4.119 -3.178 3.473
H -3.007 -2.350 -3.955
H -3.256 -7.103 -0.677
H -4.423 -5.568 1.484
H 2.801 -5.906 -1.436
H -0.491 -7.694 -2.006
H -6.194 -4.361 -3.474
H -3.150 -4.192 -4.159
H -5.267 -3.855 4.768
H -2.581 -6.712 1.011
H -2.778 -2.227 -1.308
H -2.199 -5.014 3.597
H 0.245 -4.923 2.811
H -7.340 -5.042 -2.179
H -3.667 -4.233 -1.642
H 0.102 -6.765 2.611
H -1.523 -4.627 5.285
H -1.099 -3.002 -1.116
H 1.038 -5.209 4.864
H -1.987 -5.008 -1.454
H 0.898 -7.051 4.663


[7]
5
Lattice="5.326 0.000 0.000 0.000 5.326 0.000 0.000 0.000 5.326" Properties=species:S:1:pos:R:3 comment="Tb3DyNi | Alexandria via LeMat-Bulk | GGA-PBE | relaxed" relative_energy_ev_per_atom=0.1506 magmom_total_mub_per_fu=0.002 e_form_ev_per_atom=-0.015 mass_density_g_cm3=7.673 pbc="T T T"
Ni 0.000 0.000 0.000
Tb 0.000 2.663 0.000
Tb 0.000 0.000 2.663
Tb 2.663 0.000 0.000
Dy 2.663 2.663 2.663


[8]
16
Lattice="-1.794 -1.437 4.432 -4.244 -1.455 -2.190 7.732 -18.321 -2.812" Properties=species:S:1:pos:R:3 comment="LaCe3Th12 | Alexandria via LeMat-Bulk | GGA-PBE | relaxed" magmom_total_mub_per_fu=0.000 e_form_ev_per_atom=0.024 mass_density_g_cm3=11.093 pbc="T T T"
La 0.000 0.000 0.000
Ce 1.955 -4.633 -0.711
Ce 3.866 -9.160 -1.406
Ce 5.777 -13.688 -2.101
Th -3.019 -1.446 1.121
Th -1.060 -6.087 0.409
Th 0.847 -10.607 -0.285
Th 2.755 -15.126 -0.979
Th 0.102 -3.085 1.853
Th 2.015 -7.617 1.157
Th 3.924 -12.141 0.462
Th 5.837 -16.674 -0.233
Th -1.123 -3.094 -1.458
Th 0.790 -7.626 -2.154
Th 2.699 -12.150 -2.848
Th 4.612 -16.682 -3.544


[9]
14
Lattice="6.614 0.000 0.000 0.000 6.619 0.000 -3.307 0.000 7.857" Properties=species:S:1:pos:R:3 comment="Tb4SnGeN | Alexandria via LeMat-Bulk | GGA-PBE | relaxed" e_form_raw_ev_per_atom=-0.96 magmom_total_mub_per_fu=0.000 mass_density_g_cm3=8.121 pbc="T T T"
Tb 3.307 1.655 6.572
Tb 0.000 4.964 6.446
Tb 0.000 4.964 1.285
Tb 3.307 1.655 1.411
Tb 1.654 3.309 3.928
Tb -1.654 0.000 3.928
Tb 1.654 0.000 3.928
Tb -1.654 3.309 3.928
Sn 3.307 4.964 1.674
Sn 0.000 1.655 6.183
Ge 0.000 1.655 1.782
Ge 3.307 4.964 6.075
N 0.000 4.964 3.891
N 3.307 1.655 3.966


[10]
10
Lattice="-0.601 -1.284 -4.658 4.821 -0.485 -0.482 -2.350 -2.408 3.512" Properties=species:S:1:pos:R:3 comment="Li2CuH6Pd | Alexandria via LeMat-Bulk | GGA-PBE | relaxed" magmom_total_mub_per_fu=0.000 mass_density_g_cm3=3.874 pbc="T T T"
Li -0.431 -2.290 -1.869
Li 2.307 -1.886 0.240
Cu -0.238 -3.292 0.942
H 3.155 -1.450 -3.813
H 1.927 -2.484 -2.024
H -1.281 -2.727 2.184
H -1.587 -3.491 -0.101
H -0.053 -1.691 0.395
H 1.112 -3.092 1.984
Pd -2.949 -3.692 -1.147


[11]
4
Lattice="-1.493 4.538 1.678 -2.527 -1.647 -4.066 -1.921 -1.262 1.705" Properties=species:S:1:pos:R:3 comment="InTcW2 | Alexandria via LeMat-Bulk | GGA-PBE | relaxed" relative_energy_ev_per_atom=0.2285 magmom_total_mub_per_fu=0.000 e_form_ev_per_atom=0.517 mass_density_g_cm3=14.410 pbc="T T T"
In -1.707 1.638 1.692
Tc -2.224 -1.455 -1.180
W 0.000 0.000 0.000
W -2.010 1.445 -1.194


[12]
5
Lattice="-1.634 -1.030 -4.112 3.328 -3.318 -0.492 -2.780 -3.067 1.873" Properties=species:S:1:pos:R:3 comment="NaLiGaP2 | Alexandria via LeMat-Bulk | GGA-PBE | relaxed" magmom_total_mub_per_fu=0.000 e_form_ev_per_atom=0.234 mass_density_g_cm3=2.751 pbc="T T T"
P -1.390 -1.533 0.937
P -0.817 -0.515 -2.056
Li 0.000 0.000 0.000
Ga 1.664 -1.659 -0.246
Na -0.543 -3.707 -1.365


Number 1: E -18.7 eV/f.u.. Number 2: E -6.1 eV/f.u.. Number 3: E -28.2 eV/f.u.. Number 4: E -37.7 eV/f.u.. Number 5: E -12.7 eV/f.u.. Number 6: E -91.2 eV/f.u.. Number 7: E -24.4 eV/f.u.. Number 8: E -111.4 eV/f.u.. Number 9: E -42.2 eV/f.u.. Number 10: E -35.1 eV/f.u.. Number 11: E -36.9 eV/f.u.. Number 12: E -15.9 eV/f.u..